A relaxed BaBi2B2 crystal, computed with PBE.

Computed properties:
* mass density: 6.56 Mg/m³
* D(E_F): 7.4 states/eV/cell
* total energy: -37.3 eV/cell
* formation enthalpy at 0 K: 0.882 eV per atom
* offset from the most stable computed form: 0.306 eV per atom

Cell: 8.7989 8.7989 3.7748 Å, 90.00 90.00 90.00°
Closest atoms and distances in Å follow each position.
Space group P4/mbm (No. 127)
Asymmetric unit:
1 Ba 0.0000 0.0000 0.0000 [2 per cell]  4 Bi 3.42, 2 Ba 3.77
2 Bi 0.1349 0.3651 0.0000 [4 per cell]  4 B 2.66
3 B 0.0662 0.5662 0.5000 [4 per cell]  1 B 1.65

A relaxed LaScPtO2 crystal, computed with PBE.

Computed properties:
* formation energy from raw total energies: -1.172 eV/atom
* mass density: 6.21 Mg/m³
* D(E_F): 4.0 states/eV/cell
* total energy: -33.1 eV/cell

Cell: 4.3215 4.3215 5.8825 Å, 90.00 90.00 90.00°
Closest atoms and distances in Å follow each position.
Space group P4/mmm (No. 123)
Asymmetric unit:
1 La 0.0000 0.0000 0.0000 [1 per cell]  4 O 2.16
2 Sc 0.5000 0.5000 0.5000 [1 per cell]  4 Pt 3.06
3 Pt 0.0000 0.0000 0.5000 [1 per cell]  2 La 2.94, 4 Sc 3.06
4 O 0.0000 0.5000 0.0000 [2 per cell]  2 La 2.16